Entry 1:
## K3CaNi2Cl9 (PBE-GGA)

Data for a relaxed K3CaNi2Cl9 crystal.

Formation energy without anion corrections: -1.4310 eV/atom
Crystal system: trigonal
Space-group type: P-3m1 (164)
V: 25.54 A^3/atom

abc: 7.074 7.074 8.839
angles: 90.00 90.00 120.00
Fractional positions:
1 K 0.000 0.000 0.000
2 K 0.333 0.667 0.703
3 K 0.667 0.333 0.297
4 Ca 0.000 0.000 0.500
5 Ni 0.333 0.667 0.163
6 Ni 0.667 0.333 0.837
7 Cl 0.000 0.500 0.000
8 Cl 0.175 0.349 0.316
9 Cl 0.175 0.825 0.316
10 Cl 0.349 0.175 0.684
11 Cl 0.500 0.000 0.000
12 Cl 0.500 0.500 0.000
13 Cl 0.651 0.825 0.316
14 Cl 0.825 0.175 0.684
15 Cl 0.825 0.651 0.684

Entry 2:
## Mn4Cu2Ni (PBE-GGA)

Data for a relaxed Mn4Cu2Ni crystal.

Crystal system: tetragonal
Density of states at the Fermi level: 1.0055 states/eV per atom
Calculated formation energy: 0.797 eV per atom
Space-group type: I4/mmm (139)
V: 17.25 A^3/atom

abc: 6.880 6.880 6.880
angles: 142.33 142.33 54.34
Fractional positions:
1 Mn 0.000 0.500 0.500
2 Mn 0.192 0.192 0.000
3 Mn 0.500 0.000 0.500
4 Mn 0.808 0.808 0.000
5 Cu 0.394 0.394 0.000
6 Cu 0.606 0.606 0.000
7 Ni 0.000 0.000 0.000

Entry 3:
## TbLuMg2 (PBE-GGA)

Data for a relaxed TbLuMg2 crystal.

Crystal system: tetragonal
E above lowest polymorph: 0.0058 eV per atom
Density of states at the Fermi level: 1.1914 states/eV per atom
Calculated formation energy: -0.066 eV per atom
Space-group type: P4/mmm (123)
V: 26.70 A^3/atom

abc: 5.304 5.304 3.796
angles: 90.00 90.00 90.00
Fractional positions:
1 Tb 0.000 0.000 0.000
2 Lu 0.500 0.500 0.000
3 Mg 0.000 0.500 0.500
4 Mg 0.500 0.000 0.500

no.,calculated density (g/cm3),total DFT energy (no corrections) (Ry/atom)
1,2.57,-0.2692
2,5.58,-0.4732
3,5.95,-0.2316